No. 1
A plane-wave DFT calculation with PBE-GGA was carried out for a relaxed ZnSi2Ir crystal.

Cell lengths 2.9580, 2.9580, 23.2765 Å; angles 90.00, 90.00, 120.00 degrees
Space group R-3m (No. 166, hexagonal axes)
Inequivalent atoms, fractional coordinates:
Zn (0.0000, 0.0000, 0.0000)
Si (0.0000, 0.0000, 0.2457)
Ir (0.0000, 0.0000, 0.5000)

Computed properties:
- ΔE_f (raw): -0.0753 eV/atom
- Magnetization: 0.00 μB per formula unit
- Theoretical density: 8.9 g/cm³
- Energy: -5.321 eV/atom

No. 2
A plane-wave DFT calculation with PBE-GGA was carried out for a relaxed Zn2SiIr2 crystal.

Cell lengths 7.178, 7.178, 2.871 Å; angles 90.00, 90.00, 90.00 degrees
Space group P4/mbm (No. 127)
Inequivalent atoms, fractional coordinates:
Zn (0.121, 0.379, 0.000)
Si (0.000, 0.000, 0.000)
Ir (0.178, 0.678, 0.500)

Computed properties:
- ΔE_f (raw): 0.1837 eV/atom
- Magnetization: 0.00 μB per formula unit
- Polymorph energy (0 for the lowest one): 477 meV/atom
- Theoretical density: 12.2 g/cm³
- Energy: -4.955 eV/atom

No. 3
A plane-wave DFT calculation with PBE-GGA was carried out for a relaxed ZnSiIr crystal.

Cell lengths 4.0899, 4.0899, 3.0535 Å; angles 90.00, 90.00, 120.00 degrees
Space group P-6m2 (No. 187)
Inequivalent atoms, fractional coordinates:
Zn (0.0000, 0.0000, 0.0000)
Si (0.6667, 0.3333, 0.5000)
Ir (0.3333, 0.6667, 0.5000)

Computed properties:
- ΔE_f (raw): -0.2287 eV/atom
- Magnetization: 0.00 μB per formula unit
- Theoretical density: 10.7 g/cm³
- Energy: -5.415 eV/atom

No. 4
A plane-wave DFT calculation with PBE-GGA was carried out for a relaxed ZnSiIr crystal.

Cell lengths 5.796, 5.796, 5.796 Å; angles 90.00, 90.00, 90.00 degrees
Space group F-43m (No. 216)
Inequivalent atoms, fractional coordinates:
Zn (0.000, 0.000, 0.000)
Si (0.000, 0.000, 0.500)
Ir (0.250, 0.250, 0.250)

Computed properties:
- ΔE_f (raw): -0.2684 eV/atom
- Magnetization: 0.00 μB per formula unit
- Theoretical density: 9.7 g/cm³
- Energy: -5.454 eV/atom

No. 5
A plane-wave DFT calculation with PBE-GGA was carried out for a relaxed ZnSi2Ir crystal.

Cell lengths 5.107, 8.846, 2.965 Å; angles 90.00, 119.50, 90.00 degrees
Space group C2/m (No. 12)
Inequivalent atoms, fractional coordinates:
Zn (0.000, 0.000, 0.000)
Si (0.250, 0.250, 0.000)
Ir (0.000, 0.500, 0.000)

Computed properties:
- ΔE_f (raw): 0.1198 eV/atom
- Magnetization: 0.00 μB per formula unit
- Theoretical density: 8.9 g/cm³
- Energy: -5.125 eV/atom

No. 6
A plane-wave DFT calculation with PBE-GGA was carried out for a relaxed ZnSiIr crystal.

Cell lengths 4.1320, 4.1320, 18.5505 Å; angles 90.00, 90.00, 120.00 degrees
Space group R-3m (No. 166, hexagonal axes)
Inequivalent atoms, fractional coordinates:
Zn (0.0000, 0.0000, 0.1302)
Si (0.0000, 0.0000, 0.4075)
Ir (0.0000, 0.0000, 0.2784)

Computed properties:
- ΔE_f (raw): -0.3353 eV/atom
- Magnetization: 0.00 μB per formula unit
- Theoretical density: 10.4 g/cm³
- Energy: -5.521 eV/atom

No. 7
A plane-wave DFT calculation with PBE-GGA was carried out for a relaxed ZnSi3Ir crystal.

Cell lengths 4.666, 4.666, 4.666 Å; angles 90.00, 90.00, 90.00 degrees
Space group Pm-3m (No. 221)
Inequivalent atoms, fractional coordinates:
Zn (0.000, 0.000, 0.000)
Si (0.000, 0.500, 0.500)
Ir (0.500, 0.500, 0.500)

Computed properties:
- ΔE_f (raw): 0.4929 eV/atom
- Magnetization: 0.00 μB per formula unit
- Polymorph energy (0 for the lowest one): 0 meV/atom
- Theoretical density: 5.6 g/cm³
- Energy: -4.788 eV/atom

No. 8
A plane-wave DFT calculation with PBE-GGA was carried out for a relaxed ZnSiIr crystal.

Cell lengths 2.911, 3.536, 8.023 Å; angles 90.00, 90.00, 90.00 degrees
Space group Imm2 (No. 44)
Inequivalent atoms, fractional coordinates:
Zn (0.000, 0.000, 0.000)
Si (0.000, 0.000, 0.678)
Ir (0.000, 0.000, 0.323)

Computed properties:
- ΔE_f (raw): -0.3097 eV/atom
- Magnetization: 0.00 μB per formula unit
- Theoretical density: 11.5 g/cm³
- Energy: -5.496 eV/atom

No. 9
A plane-wave DFT calculation with PBE-GGA was carried out for a relaxed ZnSi2Ir3 crystal.

Cell lengths 2.877, 2.877, 9.974 Å; angles 90.00, 90.00, 90.00 degrees
Space group P4/mmm (No. 123)
Inequivalent atoms, fractional coordinates:
Zn (0.000, 0.000, 0.000)
Si (0.000, 0.000, 0.332)
Ir (0.500, 0.500, 0.192)
Ir (0.500, 0.500, 0.500)

Computed properties:
- ΔE_f (raw): -0.4503 eV/atom
- Magnetization: 0.00 μB per formula unit
- Theoretical density: 14.0 g/cm³
- Energy: -6.901 eV/atom

No. 10
A plane-wave DFT calculation with PBE-GGA was carried out for a relaxed ZnSi2Ir crystal.

Cell lengths 5.115, 7.400, 2.965 Å; angles 90.00, 90.00, 90.00 degrees
Space group Cmmm (No. 65)
Inequivalent atoms, fractional coordinates:
Zn (0.000, 0.000, 0.000)
Si (0.250, 0.250, 0.500)
Ir (0.000, 0.500, 0.000)

Computed properties:
- ΔE_f (raw): 0.0348 eV/atom
- Magnetization: 0.00 μB per formula unit
- Theoretical density: 9.3 g/cm³
- Energy: -5.210 eV/atom

No. 11
A plane-wave DFT calculation with PBE-GGA was carried out for a relaxed ZnSi2Ir crystal.

Cell lengths 2.841, 2.841, 7.350 Å; angles 90.00, 90.00, 90.00 degrees
Space group P4/mmm (No. 123)
Inequivalent atoms, fractional coordinates:
Zn (0.000, 0.000, 0.000)
Si (0.500, 0.500, 0.277)
Ir (0.000, 0.000, 0.500)

Computed properties:
- ΔE_f (raw): -0.0221 eV/atom
- Magnetization: 0.00 μB per formula unit
- Theoretical density: 8.8 g/cm³
- Energy: -5.267 eV/atom

No. 12
A plane-wave DFT calculation with PBE-GGA was carried out for a relaxed ZnSi2Ir crystal.

Cell lengths 4.346, 3.112, 8.808 Å; angles 90.00, 90.00, 90.00 degrees
Space group Amm2 (No. 38)
Inequivalent atoms, fractional coordinates:
Zn (0.000, 0.000, 0.000)
Si (0.000, 0.000, 0.733)
Si (0.500, 0.000, 0.317)
Ir (0.500, 0.000, 0.599)

Computed properties:
- ΔE_f (raw): -0.1219 eV/atom
- Magnetization: 0.00 μB per formula unit
- Theoretical density: 8.7 g/cm³
- Energy: -5.367 eV/atom

No. 13
A plane-wave DFT calculation with PBE-GGA was carried out for a relaxed ZnSi2Ir crystal.

Cell lengths 2.795, 4.836, 8.787 Å; angles 90.00, 90.00, 90.00 degrees
Space group Cmm2 (No. 35)
Inequivalent atoms, fractional coordinates:
Zn (0.000, 0.000, 0.000)
Si (0.000, 0.000, 0.483)
Si (0.000, 0.500, 0.732)
Ir (0.000, 0.500, 0.259)

Computed properties:
- ΔE_f (raw): 0.1657 eV/atom
- Magnetization: 0.00 μB per formula unit
- Theoretical density: 8.8 g/cm³
- Energy: -5.080 eV/atom

No. 14
A plane-wave DFT calculation with PBE-GGA was carried out for a relaxed ZnSiIr crystal.

Cell lengths 2.8601, 2.8601, 6.1384 Å; angles 90.00, 90.00, 120.00 degrees
Space group P3m1 (No. 156)
Inequivalent atoms, fractional coordinates:
Zn (0.0000, 0.0000, 0.0000)
Si (0.3333, 0.6667, 0.6472)
Ir (0.6667, 0.3333, 0.3531)

Computed properties:
- ΔE_f (raw): -0.1731 eV/atom
- Magnetization: 0.00 μB per formula unit
- Theoretical density: 10.9 g/cm³
- Energy: -5.359 eV/atom

No. 15
A plane-wave DFT calculation with PBE-GGA was carried out for a relaxed ZnSi2Ir crystal.

Cell lengths 3.836, 3.836, 7.598 Å; angles 90.00, 90.00, 90.00 degrees
Space group I-4m2 (No. 119)
Inequivalent atoms, fractional coordinates:
Zn (0.000, 0.000, 0.000)
Si (0.000, 0.000, 0.500)
Si (0.000, 0.500, 0.250)
Ir (0.000, 0.500, 0.750)

Computed properties:
- ΔE_f (raw): 0.0927 eV/atom
- Magnetization: 0.00 μB per formula unit
- Theoretical density: 9.3 g/cm³
- Energy: -5.153 eV/atom

No. 16
A plane-wave DFT calculation with PBE-GGA was carried out for a relaxed ZnSiIr crystal.

Cell lengths 2.815, 4.901, 12.839 Å; angles 90.00, 90.00, 90.00 degrees
Space group Fmm2 (No. 42)
Inequivalent atoms, fractional coordinates:
Zn (0.000, 0.000, 0.000)
Si (0.000, 0.000, 0.673)
Ir (0.000, 0.000, 0.326)

Computed properties:
- ΔE_f (raw): 0.0220 eV/atom
- Magnetization: 0.00 μB per formula unit
- Theoretical density: 10.7 g/cm³
- Energy: -5.164 eV/atom

No. 17
A plane-wave DFT calculation with PBE-GGA was carried out for a relaxed ZnSi2Ir crystal.

Cell lengths 4.352, 4.352, 3.025 Å; angles 90.00, 90.00, 90.00 degrees
Space group P4/mmm (No. 123)
Inequivalent atoms, fractional coordinates:
Zn (0.000, 0.000, 0.000)
Si (0.000, 0.500, 0.500)
Ir (0.500, 0.500, 0.000)

Computed properties:
- ΔE_f (raw): 0.1572 eV/atom
- Magnetization: 0.00 μB per formula unit
- Theoretical density: 9.1 g/cm³
- Energy: -5.088 eV/atom

No. 18
A plane-wave DFT calculation with PBE-GGA was carried out for a relaxed ZnSi2Ir crystal.

Cell lengths 2.886, 3.783, 5.190 Å; angles 90.00, 90.00, 90.00 degrees
Space group Pmm2 (No. 25)
Inequivalent atoms, fractional coordinates:
Zn (0.000, 0.000, 0.000)
Si (0.000, 0.000, 0.496)
Si (0.500, 0.500, 0.792)
Ir (0.500, 0.500, 0.315)

Computed properties:
- ΔE_f (raw): -0.0127 eV/atom
- Magnetization: 0.00 μB per formula unit
- Theoretical density: 9.2 g/cm³
- Energy: -5.258 eV/atom

No. 19
A plane-wave DFT calculation with PBE-GGA was carried out for a relaxed Zn2Si2Ir crystal.

Cell lengths 6.194, 6.194, 3.968 Å; angles 90.00, 90.00, 90.00 degrees
Space group P4/mbm (No. 127)
Inequivalent atoms, fractional coordinates:
Zn (0.178, 0.322, 0.000)
Si (0.134, 0.634, 0.500)
Ir (0.000, 0.000, 0.500)

Computed properties:
- ΔE_f (raw): -0.0696 eV/atom
- Magnetization: 0.00 μB per formula unit
- Theoretical density: 8.3 g/cm³
- Energy: -4.521 eV/atom

No. 20
A plane-wave DFT calculation with PBE-GGA was carried out for a relaxed Zn3SiIr4 crystal.

Cell lengths 5.996, 6.010, 12.173 Å; angles 90.00, 90.00, 90.00 degrees
Space group Fmmm (No. 69)
Inequivalent atoms, fractional coordinates:
Zn (0.000, 0.000, 0.000)
Zn (0.000, 0.000, 0.247)
Si (0.000, 0.000, 0.500)
Ir (0.250, 0.250, 0.120)

Computed properties:
- ΔE_f (raw): -0.3307 eV/atom
- Magnetization: 0.00 μB per formula unit
- Theoretical density: 15.0 g/cm³
- Energy: -5.917 eV/atom